Material: NpMnHg2O6
Method: DFT, GGA+U
State: relaxed

abc: 5.7944 5.7944 5.6397
angles: 119.05 119.05 61.39
Sites, in units of the cell vectors:
Np1 0.0000 0.0000 0.0000
Mn1 0.5000 0.5000 0.5000
Hg1 0.2547 0.2547 0.7736
Hg2 0.7453 0.7453 0.2264
O1 0.1814 0.6842 0.1775
O2 0.2417 0.2417 0.3728
O3 0.3158 0.8186 0.8225
O4 0.6842 0.1814 0.1775
O5 0.7583 0.7583 0.6272
O6 0.8186 0.3158 0.8225

Summary:
* uncorrected energy: -6.60 eV/atom
* crystal system: monoclinic
* symmetry: C2/m